Entry 1:
TaZnAs4 | the Alexandria database | PBE | relaxed; calculated formation energy = 0.643 eV/atom; N(E_F) = 5.69 states/eV/cell; space group = F-43m, No. 216
1.0
0.000 3.839 3.839
3.839 0.000 3.839
3.839 3.839 0.000
As Zn Ta
4 1 1
Cartesian
2.886 4.792 4.792
4.792 2.886 4.792
2.886 2.886 2.886
4.792 4.792 2.886
0.000 0.000 0.000
5.759 5.759 5.759

=====

Entry 2:
TaZnAs | the Alexandria database | PBE | relaxed; calculated formation energy = 0.072 eV/atom; N(E_F) = 0.83 states/eV/cell; space group = Fmm2, No. 42
1.0
-3.422 -4.943 -4.387
-0.842 -4.568 -5.645
0.300 -2.508 1.415
Ta Zn As
1 1 1
Cartesian
-1.226 -4.850 -2.413
-2.857 -7.354 -6.506
-4.143 -9.327 -9.731

=====

Entry 3:
TaZnAs | the Alexandria database | PBE | relaxed; calculated formation energy = 0.208 eV/atom; N(E_F) = 2.01 states/eV/cell; space group = P3m1, No. 156
1.0
4.545 0.000 0.000
-2.273 3.936 0.000
0.000 0.000 2.911
Ta Zn As
1 1 1
Cartesian
2.273 1.312 0.487
0.000 2.624 1.944
0.000 0.000 0.480